# PmVF5 (GGA+U, relaxed)
# Mass density (g/cm³): 4.16
# VASP energy (eV per atom): -6.540
data_PmVF5
_symmetry_space_group_name_H-M 'C 1 2/c 1'
_symmetry_Int_Tables_number 15
_cell_length_a 9.3916
_cell_length_b 6.8680
_cell_length_c 7.8872
_cell_angle_alpha 90.00
_cell_angle_beta 114.13
_cell_angle_gamma 90.00
loop_
_symmetry_equiv_pos_as_xyz
'x,y,z'
'-x,-y,-z'
'-x,y,-z+1/2'
'x,-y,z+1/2'
'x+1/2,y+1/2,z'
'-x+1/2,-y+1/2,-z'
'-x+1/2,y+1/2,-z+1/2'
'x+1/2,-y+1/2,z+1/2'
loop_
_atom_site_label
_atom_site_fract_x
_atom_site_fract_y
_atom_site_fract_z
Pm1 0.0000 0.0517 0.2500
V1 0.0000 0.5000 0.0000
F1 0.0000 0.3914 0.2500
F2 0.0062 0.1881 0.9660
F3 0.2422 0.4800 0.6235